No. 1
RbTl3Br | PBE | relaxed

Unit cell a=6.2176 b=6.2176 c=6.2176 alpha=90.00 beta=90.00 gamma=90.00
Atoms (fractional coordinates):
Tl  0.0000  0.5000  0.0000
Tl  0.0000  0.0000  0.5000
Tl  0.5000  0.0000  0.0000
Br  0.0000  0.0000  0.0000
Rb  0.5000  0.5000  0.5000

Computed properties:
The crystal system is cubic. Its energy above the most stable polymorph in this dataset is 0 meV/atom. The uncorrected formation energy comes out at -143 meV/atom.

=====

No. 2
Ho2In5Hg12 | PBE | relaxed

Unit cell a=7.6224 b=9.1478 c=8.9895 alpha=106.87 beta=90.00 gamma=114.62
Atoms (fractional coordinates):
Ho  0.7324  0.0000  0.0000
Ho  0.2676  0.0000  0.0000
In  0.2494  0.4988  0.5583
In  0.3584  0.7169  0.1000
In  0.0000  0.0000  0.5000
In  0.6416  0.2831  0.9000
In  0.7506  0.5012  0.4417
Hg  0.0783  0.1567  0.2580
Hg  0.0129  0.5978  0.8646
Hg  0.5849  0.5978  0.8646
Hg  0.1594  0.7501  0.3933
Hg  0.5907  0.7501  0.3933
Hg  0.4433  0.8866  0.7002
Hg  0.5567  0.1134  0.2998
Hg  0.8406  0.2499  0.6067
Hg  0.4093  0.2499  0.6067
Hg  0.9871  0.4022  0.1354
Hg  0.4151  0.4022  0.1354
Hg  0.9217  0.8433  0.7420

Computed properties:
The crystal system is monoclinic. For the energy relative to the elements, the calculation gives -0.03 eV per atom. Its energy above the most stable polymorph in this dataset is 83 meV/atom.

=====

No. 3
TaTc2Ag | PBE | relaxed

Unit cell a=4.4987 b=4.4987 c=4.4987 alpha=60.00 beta=60.00 gamma=60.00
Atoms (fractional coordinates):
Tc  0.2500  0.2500  0.2500
Tc  0.7500  0.7500  0.7500
Ag  0.0000  0.0000  0.0000
Ta  0.5000  0.5000  0.5000

Computed properties:
The crystal system is cubic. For the energy relative to the elements, the calculation gives 0.32 eV per atom. Its energy above the most stable polymorph in this dataset is 149 meV/atom.

=====

No. 4
La4Pm5Sc | PBE | relaxed

Unit cell a=3.5799 b=11.6860 c=12.1428 alpha=136.15 beta=98.48 gamma=90.00
Atoms (fractional coordinates):
La  0.6039  0.9152  0.2078
La  0.0906  0.3793  0.1813
La  0.3961  0.0848  0.7922
La  0.9094  0.6207  0.8187
Pm  0.2032  0.2987  0.4065
Pm  0.1924  0.7970  0.3848
Pm  0.8076  0.2030  0.6152
Pm  0.5000  0.5000  0.0000
Pm  0.7968  0.7013  0.5935
Sc  0.5000  0.0000  0.0000

Computed properties:
The crystal system is monoclinic. For the energy relative to the elements, the calculation gives 0.08 eV per atom. Its energy above the most stable polymorph in this dataset is 42 meV/atom.

=====

No. 5
Ba2HgAsO6 | PBE | relaxed

Unit cell a=6.3246 b=6.0907 c=7.9837 alpha=90.00 beta=90.65 gamma=90.00
Atoms (fractional coordinates):
Ba  0.9964  0.9996  0.2488
Ba  0.4964  0.5004  0.7488
Ba  0.0036  0.0004  0.7512
Ba  0.5036  0.4996  0.2512
Hg  0.5000  0.0000  0.0000
Hg  0.0000  0.5000  0.5000
As  0.5000  0.0000  0.5000
As  0.0000  0.5000  0.0000
O  0.2036  0.7116  0.0325
O  0.7036  0.7884  0.5325
O  0.7964  0.2884  0.9675
O  0.2964  0.2116  0.4675
O  0.2971  0.7878  0.4672
O  0.7971  0.7122  0.9672
O  0.7029  0.2122  0.5328
O  0.2029  0.2878  0.0328
O  0.9281  0.5006  0.2390
O  0.4281  0.9994  0.7390
O  0.0719  0.4994  0.7610
O  0.5719  0.0006  0.2610

Computed properties:
The crystal system is monoclinic. The uncorrected formation energy comes out at -1588 meV/atom.

=====

No. 6
Ca2TlBiO5 | PBE | relaxed

Unit cell a=3.4944 b=7.3604 c=11.7078 alpha=90.00 beta=90.00 gamma=103.73
Atoms (fractional coordinates):
Ca  0.8655  0.7311  0.7336
Ca  0.1397  0.2793  0.7240
Ca  0.1345  0.2689  0.2336
Ca  0.8603  0.7207  0.2240
Tl  0.5009  0.0017  0.9761
Tl  0.4991  0.9983  0.4761
Bi  0.7572  0.5143  0.4915
Bi  0.2428  0.4857  0.9915
O  0.3879  0.7758  0.0980
O  0.7186  0.4373  0.8421
O  0.4571  0.9142  0.8027
O  0.2809  0.5618  0.6264
O  0.9159  0.8319  0.5296
O  0.6121  0.2242  0.5980
O  0.2814  0.5627  0.3421
O  0.5429  0.0858  0.3027
O  0.7191  0.4382  0.1264
O  0.0841  0.1681  0.0296

Computed properties:
The crystal system is orthorhombic. The uncorrected formation energy comes out at -1782 meV/atom.

=====

No. 7
Ac2TbF8 | PBE | relaxed

Unit cell a=4.2228 b=7.3911 c=7.6567 alpha=105.79 beta=90.00 gamma=106.60
Atoms (fractional coordinates):
Ac  0.7344  0.4688  0.7363
Ac  0.2656  0.5312  0.2637
Tb  0.5000  0.0000  0.0000
F  0.4303  0.8607  0.2243
F  0.7382  0.4764  0.0885
F  0.8068  0.6136  0.4636
F  0.9122  0.8244  0.9150
F  0.1932  0.3864  0.5364
F  0.2618  0.5236  0.9115
F  0.5697  0.1393  0.7757
F  0.0878  0.1756  0.0850

Computed properties:
The crystal system is monoclinic. Its energy above the most stable polymorph in this dataset is 0 meV/atom. The uncorrected formation energy comes out at -3916 meV/atom.

=====

No. 8
SnTeI2 | PBE | relaxed

Unit cell a=5.7235 b=8.4398 c=8.4398 alpha=82.19 beta=70.18 gamma=70.18
Atoms (fractional coordinates):
Sn  0.3833  0.4708  0.7625
Sn  0.6167  0.7375  0.0292
Te  0.5000  0.3980  0.1020
Te  0.0000  0.3980  0.1020
I  0.3834  0.8875  0.3458
I  0.6166  0.1542  0.6125
I  0.8965  0.5807  0.6263
I  0.1035  0.8737  0.9193

Computed properties:
The crystal system is orthorhombic. Its energy above the most stable polymorph in this dataset is 0 meV/atom. The uncorrected formation energy comes out at -146 meV/atom.

=====

No. 9
NbRhS2Cl | PBE | relaxed

Unit cell a=4.8113 b=4.8113 c=4.7949 alpha=90.00 beta=90.00 gamma=90.00
Atoms (fractional coordinates):
Nb  0.0000  0.0000  0.0000
Rh  0.5000  0.5000  0.5000
S  0.0000  0.5000  0.0000
S  0.5000  0.0000  0.0000
Cl  0.0000  0.0000  0.5000

Computed properties:
The crystal system is tetragonal. Its energy above the most stable polymorph in this dataset is 0 meV/atom. The uncorrected formation energy comes out at 205 meV/atom.

=====

No. 10
BaCo2Ni | PBE | relaxed

Unit cell a=5.1637 b=5.1637 c=5.1637 alpha=135.99 beta=112.37 gamma=84.27
Atoms (fractional coordinates):
Ba  0.2516  0.7516  0.5000
Co  0.9105  0.9105  0.0000
Co  0.7552  0.2552  0.5000
Ni  0.5828  0.5828  0.0000

Computed properties:
The crystal system is orthorhombic. For the energy relative to the elements, the calculation gives 0.71 eV per atom. Its energy above the most stable polymorph in this dataset is 559 meV/atom.

=====

No. 11
TaTe2Se | PBE | relaxed

Unit cell a=3.1335 b=3.1335 c=10.6229 alpha=90.00 beta=90.00 gamma=109.25
Atoms (fractional coordinates):
Se  0.5000  0.5000  0.2500
Ta  0.5000  0.5000  0.7500
Te  0.0000  0.0000  0.9574
Te  0.0000  0.0000  0.5426

Computed properties:
The crystal system is orthorhombic. The uncorrected formation energy comes out at 267 meV/atom.

=====

No. 12
HoNiPt3 | PBE | relaxed

Unit cell a=4.3934 b=6.4588 c=6.0941 alpha=90.00 beta=90.00 gamma=90.00
Atoms (fractional coordinates):
Ho  0.5000  0.0000  0.2428
Ho  0.0000  0.5000  0.7572
Ni  0.0000  0.0000  0.5491
Ni  0.5000  0.5000  0.4509
Pt  0.0000  0.7010  0.2777
Pt  0.5000  0.7990  0.7223
Pt  0.5000  0.2010  0.7223
Pt  0.0000  0.2990  0.2777
Pt  0.0000  0.0000  0.9461
Pt  0.5000  0.5000  0.0539

Computed properties:
The crystal system is orthorhombic. For the energy relative to the elements, the calculation gives -0.55 eV per atom.

=====

No. 13
Mg4Tl2Ga | PBE | relaxed

Unit cell a=4.6645 b=5.6100 c=7.2362 alpha=106.34 beta=108.80 gamma=90.00
Atoms (fractional coordinates):
Mg  0.8844  0.3290  0.7687
Mg  0.1156  0.6710  0.2313
Mg  0.5588  0.2827  0.1175
Mg  0.4412  0.7173  0.8825
Tl  0.7674  0.7545  0.5348
Tl  0.2326  0.2455  0.4652
Ga  0.0000  0.0000  0.0000

Computed properties:
The crystal system is monoclinic. For the energy relative to the elements, the calculation gives 0.00 eV per atom. Its energy above the most stable polymorph in this dataset is 0 meV/atom.

=====

No. 14
Dy3CdSe6 | PBE | relaxed

Unit cell a=7.0557 b=8.7602 c=8.7602 alpha=100.23 beta=90.00 gamma=90.00
Atoms (fractional coordinates):
Dy  0.4828  0.9177  0.7224
Dy  0.9828  0.7224  0.9177
Dy  0.3862  0.4026  0.5974
Dy  0.8862  0.5974  0.4026
Dy  0.9828  0.0823  0.2776
Dy  0.4828  0.2776  0.0823
Cd  0.0046  0.2077  0.7923
Cd  0.5046  0.7923  0.2077
Se  0.1827  0.7007  0.6267
Se  0.6827  0.6267  0.7007
Se  0.2184  0.4548  0.9062
Se  0.7184  0.9062  0.4548
Se  0.1905  0.0311  0.9689
Se  0.6363  0.2272  0.7728
Se  0.1363  0.7728  0.2272
Se  0.6905  0.9689  0.0311
Se  0.2184  0.0938  0.5452
Se  0.7184  0.5452  0.0938
Se  0.1827  0.3733  0.2993
Se  0.6827  0.2993  0.3733

Computed properties:
The crystal system is orthorhombic. The uncorrected formation energy comes out at -1440 meV/atom.

=====

No. 15
AgH2Ir | PBE | relaxed

Unit cell a=4.5503 b=4.5503 c=5.1138 alpha=63.58 beta=63.58 gamma=90.00
Atoms (fractional coordinates):
H  0.6865  0.1250  0.2500
H  0.0635  0.6250  0.2500
H  0.3750  0.3135  0.7500
H  0.8750  0.9365  0.7500
Ir  0.0000  0.0000  0.0000
Ir  0.7500  0.2500  0.5000
Ag  0.5000  0.5000  0.0000
Ag  0.2500  0.7500  0.5000

Computed properties:
The crystal system is tetragonal. Its energy above the most stable polymorph in this dataset is 55 meV/atom.

=====

No. 16
LiCe2UAs4 | PBE | relaxed

Unit cell a=4.1701 b=7.1520 c=7.0955 alpha=109.30 beta=90.00 gamma=90.00
Atoms (fractional coordinates):
Li  0.5000  0.5000  0.0000
Ce  0.5000  0.0000  0.5000
Ce  0.0000  0.5000  0.5000
U  0.0000  0.0000  0.0000
As  0.5000  0.2445  0.2396
As  0.5000  0.7555  0.7604
As  0.0000  0.2428  0.7550
As  0.0000  0.7572  0.2450

Computed properties:
The crystal system is monoclinic. For the energy relative to the elements, the calculation gives -0.96 eV per atom.

=====

No. 17
Dy3Pa | PBE | relaxed

Unit cell a=4.9027 b=4.9027 c=4.9027 alpha=90.00 beta=90.00 gamma=90.00
Atoms (fractional coordinates):
Pa  0.0000  0.0000  0.0000
Dy  0.0000  0.5000  0.5000
Dy  0.5000  0.0000  0.5000
Dy  0.5000  0.5000  0.0000

Computed properties:
The crystal system is cubic. For the energy relative to the elements, the calculation gives 0.21 eV per atom. Its energy above the most stable polymorph in this dataset is 29 meV/atom.

=====

No. 18
ErAlSi2 | PBE | relaxed

Unit cell a=3.9511 b=4.2554 c=4.2554 alpha=90.00 beta=90.00 gamma=90.00
Atoms (fractional coordinates):
Si  0.0000  0.0000  0.5000
Si  0.0000  0.5000  0.0000
Al  0.5000  0.5000  0.5000
Er  0.5000  0.0000  0.0000

Computed properties:
The crystal system is tetragonal. The uncorrected formation energy comes out at -295 meV/atom.

=====

No. 19
CoMoIr2 | PBE | relaxed

Unit cell a=2.7190 b=4.6695 c=5.3662 alpha=54.93 beta=90.00 gamma=90.00
Atoms (fractional coordinates):
Co  0.0000  0.0000  0.5000
Ir  0.0000  0.0000  0.0000
Ir  0.5000  0.5000  0.0000
Mo  0.5000  0.5000  0.5000

Computed properties:
The crystal system is monoclinic. For the energy relative to the elements, the calculation gives -0.04 eV per atom. Its energy above the most stable polymorph in this dataset is 140 meV/atom.

=====

No. 20
La2PmZn5 | PBE | relaxed

Unit cell a=4.9552 b=4.9552 c=8.2465 alpha=107.48 beta=107.48 gamma=90.00
Atoms (fractional coordinates):
La  0.7297  0.7297  0.4593
La  0.2703  0.2703  0.5407
Pm  0.0000  0.0000  0.0000
Zn  0.5000  0.5000  0.0000
Zn  0.8908  0.3908  0.7816
Zn  0.3908  0.8908  0.7816
Zn  0.1092  0.6092  0.2184
Zn  0.6092  0.1092  0.2184

Computed properties:
The crystal system is tetragonal. For the energy relative to the elements, the calculation gives -0.28 eV per atom.